Record 1
The following is a DFT calculation (SCAN) of TaIn2Br at its PBEsol-relaxed geometry.

## Properties
ΔE_f (raw)   0.099 eV per atom
Relative energy among the computed polymorphs   0 meV per atom

a b c (Å): 11.115 3.079 5.260
angles (deg): 90.00 106.53 90.00
Space group Cm (No. 8)
One atom of each set of equivalent atoms:
Ta: 0.000 0.000 0.000 x2
In: 0.034 0.500 0.496 x2
In: 0.241 0.500 0.142 x2
Br: 0.318 0.000 0.712 x2



Record 2
The following is a DFT calculation (SCAN) of RePO5 at its PBEsol-relaxed geometry.

## Properties
ΔE_f (raw)   -1.981 eV per atom

a b c (Å): 12.265 12.847 5.291
angles (deg): 90.00 90.10 90.00
Space group C2/c (No. 15)
One atom of each set of equivalent atoms:
Re: 0.149 0.097 0.251 x8
P: 0.120 0.272 0.764 x8
O: 0.000 0.080 0.250 x4
O: 0.000 0.322 0.750 x4
O: 0.131 0.223 0.023 x8
O: 0.132 0.198 0.545 x8
O: 0.167 0.009 0.982 x8
O: 0.192 0.369 0.739 x8



Record 3
The following is a DFT calculation (SCAN) of MoOs2 at its PBEsol-relaxed geometry.

## Properties
Relative energy among the computed polymorphs   689 meV per atom

a b c (Å): 5.878 5.878 5.878
angles (deg): 90.00 90.00 90.00
Space group Fm-3m (No. 225)
One atom of each set of equivalent atoms:
Mo: 0.000 0.000 0.000 x4
Os: 0.250 0.250 0.250 x8



Record 4
The following is a DFT calculation (SCAN) of YCd2Hg at its PBEsol-relaxed geometry.

## Properties
Total energy   -39.613 eV/atom

a b c (Å): 4.383 4.383 4.720
angles (deg): 90.00 90.00 90.00
Space group P4/mmm (No. 123)
One atom of each set of equivalent atoms:
Y: 0.000 0.000 0.000 x1
Cd: 0.000 0.500 0.500 x2
Hg: 0.500 0.500 0.000 x1